Record 1
The following is a GGA-PBE calculation of a relaxed structure of Ce2HfH6, from Alexandria via LeMat-Bulk.

The structure in POSCAR format:
```
Ce2HfH6
1.0
3.370 0.000 -1.088
-0.797 4.733 -2.468
0.167 0.219 6.267
H Hf Ce
6 1 2
Direct
0.500 0.798 0.000 H
0.845 0.625 0.690 H
0.500 0.202 0.000 H
0.845 0.064 0.690 H
0.155 0.936 0.310 H
0.155 0.375 0.310 H
0.000 0.000 0.000 Hf
0.343 0.343 0.686 Ce
0.657 0.657 0.314 Ce
```

## Properties
energy	-5.174	eV/atom
Fermi-level density of states	11.70	states/eV per cell
magnetization	1.40	μB per formula unit
V	102.8	Å³/f.u.

---

Record 2
The following is a GGA-PBE calculation of a relaxed structure of SrCo2CuAs, from Alexandria via LeMat-Bulk.

The structure in POSCAR format:
```
SrCo2CuAs
1.0
4.769 0.000 0.000
0.000 5.568 0.000
0.000 0.000 4.769
Co Cu Sr As
2 1 1 1
Direct
0.000 0.000 0.500 Co
0.500 0.000 0.000 Co
0.500 0.500 0.500 Cu
0.000 0.000 0.000 Sr
0.000 0.500 0.000 As
```

## Properties
formation energy	2.036	eV/atom
Fermi-level density of states	7.14	states/eV per cell
magnetization	3.32	μB per formula unit
V	126.6	Å³/f.u.

---

Record 3
The following is a GGA-PBE calculation of a relaxed structure of Ca3Tl3CuO8, from Alexandria via LeMat-Bulk.

The structure in POSCAR format:
```
Ca3Tl3CuO8
1.0
6.719 0.000 0.000
-3.360 5.992 0.071
0.000 -3.892 5.440
Ca O Tl Cu
3 8 3 1
Direct
0.500 0.500 0.000 Ca
0.000 0.000 0.000 Ca
0.000 0.500 0.000 Ca
0.219 0.000 0.714 O
0.781 0.000 0.714 O
0.241 0.482 0.229 O
0.219 0.000 0.286 O
0.743 0.487 0.255 O
0.781 0.000 0.286 O
0.257 0.513 0.745 O
0.759 0.518 0.771 O
0.500 0.500 0.500 Tl
0.000 0.500 0.500 Tl
0.500 0.000 0.500 Tl
0.000 0.000 0.500 Cu
```

## Properties
Fermi-level density of states	4.12	states/eV per cell
magnetization	0.91	μB per formula unit
V	220.9	Å³/f.u.
formation energy from raw total energies	-33.7	kcal/mol of atoms

---

Record 4
The following is a GGA-PBE calculation of a relaxed structure of SrPtO3, from Alexandria via LeMat-Bulk.

The structure in POSCAR format:
```
SrPtO3
1.0
4.465 0.000 0.000
0.000 4.465 0.000
0.000 0.000 4.465
Pt O Sr
1 3 1
Direct
0.500 0.500 0.500 Pt
0.000 0.500 0.000 O
0.000 0.000 0.500 O
0.500 0.000 0.000 O
0.000 0.000 0.000 Sr
```

## Properties
Fermi-level density of states	4.34	states/eV per cell
magnetization	4.02	μB per formula unit
V	89.0	Å³/f.u.
formation energy from raw total energies	11.1	kcal/mol of atoms

---

Record 5
The following is a GGA-PBE calculation of a relaxed structure of BeAsP2, from Alexandria via LeMat-Bulk.

The structure in POSCAR format:
```
BeAsP2
1.0
3.504 0.000 0.000
0.000 4.193 -0.004
0.000 1.237 4.211
Be P As
1 2 1
Direct
0.500 0.750 0.750 Be
0.000 0.487 0.562 P
0.000 0.013 0.938 P
0.500 0.250 0.250 As
```

## Properties
formation energy	0.183	eV/atom
Fermi-level density of states	1.48	states/eV per cell
magnetization	0.00	μB per formula unit
V	61.9	Å³/f.u.
offset from the most stable computed form	168	meV per atom

---

Record 6
The following is a GGA-PBE calculation of a relaxed structure of RbCSe2Br, from Alexandria via LeMat-Bulk.

The structure in POSCAR format:
```
RbCSe2Br
1.0
-3.811 -1.969 0.877
-0.798 -0.366 -4.290
4.007 -7.791 -0.080
Rb Se C Br
1 2 1 1
Direct
0.500 0.500 0.500 Rb
0.500 0.000 0.000 Se
0.000 0.500 0.000 Se
0.000 0.000 0.000 C
0.000 0.000 0.500 Br
```

## Properties
Fermi-level density of states	3.98	states/eV per cell
magnetization	0.00	μB per formula unit
V	168.0	Å³/f.u.
formation energy from raw total energies	9.9	kcal/mol of atoms
offset from the most stable computed form	0	meV per atom

---

Record 7
The following is a GGA-PBE calculation of a relaxed structure of Ta2CuW, from Alexandria via LeMat-Bulk.

The structure in POSCAR format:
```
Ta2CuW
1.0
-0.557 2.652 -0.356
-2.436 -0.653 -1.053
-3.534 0.327 7.976
W Ta Cu
1 2 1
Direct
0.500 0.500 0.250 W
0.000 0.000 0.518 Ta
0.000 0.000 0.982 Ta
0.500 0.500 0.750 Cu
```

## Properties
formation energy	0.143	eV/atom
Fermi-level density of states	1.48	states/eV per cell
magnetization	0.00	μB per formula unit
V	65.2	Å³/f.u.
offset from the most stable computed form	111	meV per atom

---

Record 8
The following is a GGA-PBE calculation of a relaxed structure of TaTlBr2, from Alexandria via LeMat-Bulk.

The structure in POSCAR format:
```
TaTlBr2
1.0
7.656 0.190 -0.016
4.930 5.860 0.016
-5.641 -4.380 2.763
Tl Ta Br
1 1 2
Direct
0.250 0.750 0.500 Tl
0.750 0.250 0.500 Ta
0.597 0.597 0.000 Br
0.903 0.903 0.000 Br
```

## Properties
Fermi-level density of states	2.50	states/eV per cell
magnetization	0.70	μB per formula unit
V	121.7	Å³/f.u.
formation energy from raw total energies	-2.5	kcal/mol of atoms
offset from the most stable computed form	98	meV per atom

---

Question: Number 5 is which compound?
Answer: BeAsP2

---

Copy entry 7 word for word.
The following is a GGA-PBE calculation of a relaxed structure of Ta2CuW, from Alexandria via LeMat-Bulk.

The structure in POSCAR format:
```
Ta2CuW
1.0
-0.557 2.652 -0.356
-2.436 -0.653 -1.053
-3.534 0.327 7.976
W Ta Cu
1 2 1
Direct
0.500 0.500 0.250 W
0.000 0.000 0.518 Ta
0.000 0.000 0.982 Ta
0.500 0.500 0.750 Cu
```

## Properties
formation energy	0.143	eV/atom
Fermi-level density of states	1.48	states/eV per cell
magnetization	0.00	μB per formula unit
V	65.2	Å³/f.u.
offset from the most stable computed form	111	meV per atom

---

Question: Which of these has the highest V?
Answer: Ca3Tl3CuO8

---

Question: What is the Fermi-level density of states in the sixth record?
Answer: 3.98 states/eV per cell